GGA-PBE NdSmAlGa, relaxed; total magnetization = 0.0 μB per formula unit; symmetry = No. 216; electronic total energy = -4.520 eV/atom; energy relative to the lowest polymorph listed for this composition = 24 meV per atom; energy of formation = -455 meV per atom
1.0
5.2196 0.0000 0.0000
2.6098 4.5203 0.0000
2.6098 1.5068 4.2618
Nd Ga Sm Al
1 1 1 1
Direct
0.5000 0.5000 0.5000
0.2500 0.2500 0.2500
0.0000 0.0000 0.0000
0.7500 0.7500 0.7500